This record from the Alexandria database describes a geometry-optimized LaPuCoO6 structure. The functional is GGA+U.

Computed properties:
The value obtained for the total magnetization is 2.000 μB/f.u. For the raw total energy, the calculation gives -0.3076 hartree per atom. The value obtained for the density of states at the Fermi level is 14.56 states/eV per cell.

Lattice parameters (Å, degrees): 5.2011 5.2011 10.6947 90.00 90.00 120.00
Space group P-31c (No. 163)
Asymmetric unit:
La 0.0000 0.0000 0.0000 x2
Pu 0.3333 0.6667 0.2500 x2
Co 0.3333 0.6667 0.7500 x2
O 0.0186 0.3707 0.6452 x12